# 1
Entry from Alexandria via LeMat-Bulk: an optimized crystal structure of Hg2PdAu (PBE).

Structure (POSCAR):
```
Hg2PdAu
1.0
-1.0130 -3.1159 -2.6028
3.7542 -1.8745 0.7830
-1.7490 -2.1457 3.2493
Pd Au Hg
1 1 2
Cartesian
0.4961 -3.5680 0.7147 Pd
-0.5065 -1.5579 -1.3014 Au
-0.8745 -1.0728 1.6247 Hg
1.8771 -0.9373 0.3915 Hg
```

## Properties
total moment: 0.00 μB/cell
formation energy from the elements: -1.9 kJ/mol of atoms
ρ: 15.345 Mg/m³


# 2
Entry from Alexandria via LeMat-Bulk: an optimized crystal structure of ReTe3I (PBE).

Structure (POSCAR):
```
ReTe3I
1.0
-0.8613 1.7461 3.2514
-6.7588 -8.3375 2.7089
7.9641 -0.9753 2.6008
Re I Te
2 2 6
Cartesian
0.6324 -4.5839 5.6945 Re
1.3690 -7.2281 5.0951 Re
-3.4159 -7.6021 6.2496 I
-2.5468 -3.2350 1.9391 I
-5.2440 -4.7409 4.2489 Te
2.3225 -3.8478 3.5357 Te
-0.7188 -6.0960 3.9401 Te
-0.3440 -2.4249 4.2827 Te
1.1399 -0.0744 1.1972 Te
-0.3211 -7.9643 7.2540 Te
```

## Properties
total moment: 0.00 μB/cell
ΔE_f (raw): 0.016 eV/atom
ρ: 7.176 Mg/m³


# 3
Entry from Alexandria via LeMat-Bulk: an optimized crystal structure of AcMg2GaCu4 (PBE).

Structure (POSCAR):
```
AcMg2GaCu4
1.0
4.3552 0.0000 0.0000
2.1776 3.7717 0.0000
2.1776 1.2572 9.1689
Cu Mg Ga Ac
4 2 1 1
Cartesian
2.1776 1.2572 5.4750 Cu
6.5328 3.7717 3.6940 Cu
4.3552 2.5145 7.1160 Cu
4.3552 2.5145 2.0530 Cu
2.1776 1.2572 2.7438 Mg
6.5328 3.7717 6.4251 Mg
4.3552 2.5145 4.5845 Ga
0.0000 0.0000 0.0000 Ac
```

## Properties
total moment: 0.00 μB/cell
formation energy from the elements: -10.6 kJ/mol of atoms
ρ: 6.610 Mg/m³


# 4
Entry from Alexandria via LeMat-Bulk: an optimized crystal structure of BeBiHPbN (PBE).

Structure (POSCAR):
```
BeBiHPbN
1.0
3.1207 0.0055 -0.0041
-0.0144 4.2667 -0.0020
-1.4927 -0.2006 7.6148
Be Bi H Pb N
1 1 1 1 1
Cartesian
0.4928 0.3732 0.8101 Be
2.0916 -0.0568 3.9135 Bi
2.0819 2.4340 3.3301 H
0.5476 2.4436 6.7485 Pb
2.0531 0.3285 0.6665 N
```

## Properties
total moment: 0.00 μB/cell
ρ: 7.211 Mg/m³
total DFT energy (no corrections): -4.46 eV per atom